Density functional theory data (PBE) for a geometry-optimized Tl2CuAsS4 structure.

Cell lengths 5.973, 13.038, 21.755 Å; angles 90.00, 90.00, 90.00 degrees
Space group Fddd (No. 70, origin choice 2)
Unique sites:
Tl1 0.125 0.125 0.307 x16
Cu1 0.125 0.125 0.625 x8
As1 0.125 0.125 0.125 x8
S1 0.102 0.282 0.432 x32

Computed properties:
Calculated volume in Å³ per cell: 1694.07
ΔE_f (raw) in meV/atom: -211
Total magnetization in μB per formula unit: 0.0